# 1
DFT (PBE) results for crystalline Sr3NpB2N6 at its relaxed geometry.

Geometry as POSCAR:
```
Sr3NpB2N6
1.0
-4.866 2.681 0.694
0.046 -5.281 -1.861
-0.322 -2.196 6.222
Sr Np B N
3 1 2 6
direct
0.333 0.667 0.694 Sr
0.667 0.333 0.306 Sr
0.000 0.000 0.000 Sr
0.000 0.000 0.500 Np
0.667 0.333 0.716 B
0.333 0.667 0.284 B
0.637 0.819 0.299 N
0.181 0.363 0.299 N
0.181 0.819 0.299 N
0.819 0.637 0.701 N
0.363 0.181 0.701 N
0.819 0.181 0.701 N
```

Output
For the magnetization, the calculation gives 1.02 μB per formula unit. The calculation puts the energy at -93.3 eV per cell. The space-group type is No. 164. The calculation puts the formation energy from raw total energies at -1.00 eV per atom.


# 2
DFT (PBE) results for crystalline Na2ZrO2 at its relaxed geometry.

Geometry as POSCAR:
```
Na2ZrO2
1.0
-1.821 -4.190 4.779
4.636 -4.276 -1.982
1.871 1.207 1.772
Na O Zr
4 4 2
direct
0.387 0.887 0.000 Na
0.887 0.613 0.000 Na
0.613 0.113 0.000 Na
0.113 0.387 0.000 Na
0.192 0.692 0.500 O
0.692 0.808 0.500 O
0.808 0.308 0.500 O
0.308 0.192 0.500 O
0.000 0.000 0.000 Zr
0.500 0.500 0.000 Zr
```

Output
For the magnetization, the calculation gives 1.03 μB per formula unit. The calculation puts the energy at -48.8 eV per cell. The space-group type is No. 127. The calculation puts the formation energy from raw total energies at -0.66 eV per atom.


# 3
DFT (PBE) results for crystalline Ni3BiSe at its relaxed geometry.

Geometry as POSCAR:
```
Ni3BiSe
1.0
4.801 0.000 0.000
0.000 4.801 0.000
0.000 0.000 4.801
Ni Bi Se
3 1 1
direct
0.000 0.500 0.000 Ni
0.000 0.000 0.500 Ni
0.500 0.000 0.000 Ni
0.000 0.000 0.000 Bi
0.500 0.500 0.500 Se
```

Output
For the magnetization, the calculation gives 0.00 μB per formula unit. The calculation puts the energy at -18.8 eV per cell. The space-group type is No. 221. The calculation puts the formation energy from raw total energies at 1.18 eV per atom.


# 4
DFT (PBE) results for crystalline Cs4Ho3MnSe8 at its relaxed geometry.

Geometry as POSCAR:
```
Cs4Ho3MnSe8
1.0
8.383 0.000 0.000
0.000 9.599 0.847
-4.191 -4.184 5.933
Cs Ho Mn Se
4 3 1 8
direct
0.500 0.000 0.000 Cs
0.500 0.000 0.500 Cs
0.000 0.000 0.000 Cs
0.000 0.000 0.500 Cs
0.500 0.500 0.000 Ho
0.500 0.500 0.500 Ho
0.000 0.500 0.500 Ho
0.000 0.500 0.000 Mn
0.218 0.678 0.960 Se
0.218 0.678 0.437 Se
0.271 0.313 0.542 Se
0.742 0.678 0.960 Se
0.258 0.322 0.040 Se
0.729 0.687 0.458 Se
0.782 0.322 0.563 Se
0.782 0.322 0.040 Se
```

Output
For the magnetization, the calculation gives 4.00 μB per formula unit. The calculation puts the energy at -77.0 eV per cell. The space-group type is No. 166. The calculation puts the formation energy from raw total energies at -1.43 eV per atom.


# 5
DFT (PBE) results for crystalline KCu4 at its relaxed geometry.

Geometry as POSCAR:
```
KCu4
1.0
5.924 0.639 0.777
2.398 0.492 5.488
-3.863 -3.490 -3.001
K Cu
1 4
direct
0.000 0.000 0.000 K
0.750 0.250 0.500 Cu
0.250 0.750 0.500 Cu
0.622 0.622 0.000 Cu
0.378 0.378 0.000 Cu
```

Output
For the magnetization, the calculation gives 0.00 μB per formula unit. The formation energy comes out at 0.3757 eV/atom. The calculation puts the energy at -15.6 eV per cell. The space-group type is No. 139.


# 6
DFT (PBE) results for crystalline RbRhPb2 at its relaxed geometry.

Geometry as POSCAR:
```
RbRhPb2
1.0
-1.400 -2.671 1.810
2.921 -1.887 -0.525
3.474 3.281 7.529
Pb Rh Rb
2 1 1
direct
0.000 0.000 0.822 Pb
0.000 0.000 0.178 Pb
0.500 0.500 0.000 Rh
0.500 0.500 0.500 Rb
```

Output
For the magnetization, the calculation gives 0.00 μB per formula unit. The formation energy comes out at -0.0665 eV/atom. The calculation puts the energy at -16.0 eV per cell. The space-group type is No. 123.


# 7
DFT (PBE) results for crystalline AsPt2Rh at its relaxed geometry.

Geometry as POSCAR:
```
AsPt2Rh
1.0
3.794 0.000 0.000
0.000 2.945 -0.003
0.000 1.473 5.605
As Rh Pt
1 1 2
direct
0.500 0.961 0.704 As
0.000 0.542 0.540 Rh
0.000 0.813 0.999 Pt
0.500 0.185 0.257 Pt
```

Output
For the magnetization, the calculation gives 0.00 μB per formula unit. The formation energy comes out at -0.1552 eV/atom. The calculation puts the energy at -24.7 eV per cell. The space-group type is No. 38.


# 8
DFT (PBE) results for crystalline BaSmNi2As2 at its relaxed geometry.

Geometry as POSCAR:
```
BaSmNi2As2
1.0
-2.853 -1.894 2.330
0.977 -1.526 -3.725
6.282 -4.944 3.673
Ba Sm Ni As
1 1 2 2
direct
0.000 0.000 0.000 Ba
0.000 0.000 0.500 Sm
0.333 0.667 0.720 Ni
0.667 0.333 0.280 Ni
0.333 0.667 0.277 As
0.667 0.333 0.723 As
```

Output
For the magnetization, the calculation gives 0.00 μB per formula unit. The formation energy comes out at -0.8920 eV/atom. The calculation puts the energy at -32.9 eV per cell. The space-group type is No. 164.


# 9
DFT (PBE) results for crystalline TaTl2W at its relaxed geometry.

Geometry as POSCAR:
```
TaTl2W
1.0
2.964 0.000 0.000
0.000 2.964 0.000
0.000 0.000 9.152
Ta Tl W
1 2 1
direct
0.500 0.500 0.750 Ta
0.000 0.000 0.003 Tl
0.000 0.000 0.497 Tl
0.500 0.500 0.250 W
```

Output
For the magnetization, the calculation gives 0.23 μB per formula unit. The formation energy comes out at 1.0226 eV/atom. The calculation puts the energy at -25.4 eV per cell. The space-group type is No. 123.


# 10
DFT (PBE) results for crystalline Tb3Pr7Sm at its relaxed geometry.

Geometry as POSCAR:
```
Tb3Pr7Sm
1.0
9.843 -2.483 -2.803
-5.742 8.110 2.311
-3.411 1.549 12.813
Tb Pr Sm
6 14 2
direct
0.436 0.760 0.742 Tb
0.977 0.058 0.928 Tb
0.977 0.057 0.428 Tb
0.437 0.761 0.242 Tb
0.565 0.211 0.756 Tb
0.566 0.212 0.257 Tb
0.038 0.757 0.167 Pr
0.772 0.644 0.835 Pr
0.110 0.514 0.443 Pr
0.110 0.515 0.943 Pr
0.659 0.947 0.023 Pr
0.658 0.946 0.523 Pr
0.195 0.231 0.707 Pr
0.772 0.644 0.334 Pr
0.357 0.051 0.977 Pr
0.357 0.050 0.476 Pr
0.883 0.318 0.161 Pr
0.037 0.756 0.666 Pr
0.196 0.231 0.207 Pr
0.883 0.317 0.660 Pr
0.508 0.511 0.012 Sm
0.507 0.511 0.512 Sm
```

Output
For the magnetization, the calculation gives 0.00 μB per formula unit. The formation energy comes out at 0.0696 eV/atom. The calculation puts the energy at -102.6 eV per cell. The space-group type is No. 1.


# 11
DFT (PBE) results for crystalline AlRhO at its relaxed geometry.

Geometry as POSCAR:
```
AlRhO
1.0
2.826 0.000 0.000
1.413 2.447 0.000
1.413 0.816 10.027
Al Rh O
2 2 2
direct
0.000 0.000 0.000 Al
0.500 0.500 0.500 Al
0.397 0.397 0.808 Rh
0.603 0.603 0.192 Rh
0.200 0.200 0.401 O
0.800 0.800 0.599 O
```

Output
For the magnetization, the calculation gives 0.00 μB per formula unit. The calculation puts the energy at -40.3 eV per cell. The space-group type is No. 166. The calculation puts the formation energy from raw total energies at -1.36 eV per atom.


# 12
DFT (PBE) results for crystalline Sm2Ga4CoIr3 at its relaxed geometry.

Geometry as POSCAR:
```
Sm2Ga4CoIr3
1.0
-4.182 0.470 -0.203
0.103 -0.866 -4.122
-1.225 -10.008 2.072
Sm Ga Co Ir
2 4 1 3
direct
0.500 0.000 0.263 Sm
0.000 0.500 0.737 Sm
0.500 0.500 0.000 Ga
0.000 0.000 0.000 Ga
0.500 0.000 0.621 Ga
0.000 0.500 0.379 Ga
0.500 0.500 0.500 Co
0.000 0.000 0.500 Ir
0.500 0.000 0.863 Ir
0.000 0.500 0.137 Ir
```

Output
For the magnetization, the calculation gives 0.00 μB per formula unit. The formation energy comes out at -0.6321 eV/atom. The calculation puts the energy at -61.6 eV per cell. The space-group type is No. 115.


# 13
DFT (PBE) results for crystalline La6TbDy at its relaxed geometry.

Geometry as POSCAR:
```
La6TbDy
1.0
-0.658 4.000 3.269
-4.986 -1.352 0.651
2.696 -6.094 7.999
La Tb Dy
6 1 1
direct
0.500 0.500 0.000 La
0.500 0.500 0.500 La
0.500 0.000 0.250 La
0.500 0.000 0.750 La
0.000 0.500 0.250 La
0.000 0.500 0.750 La
0.000 0.000 0.000 Tb
0.000 0.000 0.500 Dy
```

Output
For the magnetization, the calculation gives 0.00 μB per formula unit. The formation energy comes out at 0.0072 eV/atom. The calculation puts the energy at -38.7 eV per cell. The space-group type is No. 123.


# 14
DFT (PBE) results for crystalline B2C at its relaxed geometry.

Geometry as POSCAR:
```
B2C
1.0
-2.485 -1.580 2.000
2.478 -2.055 3.937
-1.399 5.349 0.424
B C
8 4
direct
0.754 0.938 0.018 B
0.975 0.790 0.706 B
0.143 0.297 0.804 B
0.425 0.482 0.654 B
0.575 0.518 0.346 B
0.857 0.703 0.196 B
0.025 0.210 0.294 B
0.246 0.062 0.982 B
0.341 0.144 0.534 C
0.659 0.856 0.466 C
0.190 0.414 0.161 C
0.810 0.586 0.839 C
```

Output
For the magnetization, the calculation gives 0.00 μB per formula unit. The formation energy comes out at 0.4826 eV/atom. The calculation puts the energy at -84.5 eV per cell. The space-group type is No. 2.


# 15
DFT (PBE) results for crystalline Pu3TeCl7 at its relaxed geometry.

Geometry as POSCAR:
```
Pu3TeCl7
1.0
-2.197 -2.900 5.932
7.402 -3.971 0.800
-1.058 7.669 3.357
Pu Te Cl
3 1 7
direct
0.788 0.501 0.001 Pu
0.788 0.999 0.499 Pu
0.788 0.501 0.499 Pu
0.520 0.667 0.333 Te
0.986 0.820 0.641 Cl
0.986 0.359 0.180 Cl
0.003 0.333 0.667 Cl
0.590 0.181 0.362 Cl
0.590 0.181 0.819 Cl
0.590 0.638 0.819 Cl
0.986 0.820 0.180 Cl
```

Output
For the magnetization, the calculation gives 15.00 μB per formula unit. The calculation puts the energy at -78.3 eV per cell. The space-group type is No. 156. The calculation puts the formation energy from raw total energies at -1.74 eV per atom.